(1)
Density functional theory data (PBE) for crystalline ThFe5As3 at its relaxed geometry.

```
ThFe5As3
1.0
-0.443 -2.957 -2.453
4.476 -1.698 4.288
-8.251 -4.446 6.852
As Fe Th
6 10 2
direct
0.380 0.761 0.555 As
0.123 0.245 0.750 As
0.620 0.239 0.445 As
0.380 0.761 0.945 As
0.620 0.239 0.055 As
0.877 0.755 0.250 As
0.442 0.884 0.354 Fe
0.558 0.116 0.854 Fe
0.558 0.116 0.646 Fe
0.810 0.620 0.053 Fe
0.442 0.884 0.146 Fe
0.000 0.000 0.500 Fe
0.000 0.000 0.000 Fe
0.810 0.620 0.447 Fe
0.190 0.380 0.947 Fe
0.190 0.380 0.553 Fe
0.836 0.672 0.750 Th
0.164 0.328 0.250 Th
```

Output
DOS at the Fermi energy   0.9170 states/eV per atom
Energy of formation from the pure elements   -346 meV per atom
Crystal system   orthorhombic
M_tot   9.99 μB per formula unit
Space-group type   Cmcm



(2)
Density functional theory data (PBE) for crystalline ThFe3As3 at its relaxed geometry.

```
ThFe3As3
1.0
-4.453 -4.576 0.437
3.075 -3.417 -4.453
3.417 -2.888 4.577
Fe As Th
6 6 2
direct
0.750 0.000 0.500 Fe
0.000 0.500 0.250 Fe
0.250 0.000 0.500 Fe
0.500 0.750 0.000 Fe
0.500 0.250 0.000 Fe
0.000 0.500 0.750 Fe
0.250 0.500 0.000 As
0.500 0.000 0.750 As
0.000 0.250 0.500 As
0.500 0.000 0.250 As
0.750 0.500 0.000 As
0.000 0.750 0.500 As
0.500 0.500 0.500 Th
0.000 0.000 0.000 Th
```

Output
DOS at the Fermi energy   1.1478 states/eV per atom
Energy of formation from the pure elements   -61 meV per atom
Crystal system   cubic
M_tot   4.19 μB per formula unit
Space-group type   Pm-3n



(3)
Density functional theory data (PBE) for crystalline Ti2FeAs2 at its relaxed geometry.

```
Ti2FeAs2
1.0
-3.274 1.679 1.809
-2.446 -2.610 -2.003
-2.424 -3.984 3.956
Ti As Fe
2 2 1
direct
0.250 0.750 0.500 Ti
0.750 0.250 0.500 Ti
0.613 0.613 0.774 As
0.387 0.387 0.226 As
0.000 0.000 0.000 Fe
```

Output
DOS at the Fermi energy   0.8208 states/eV per atom
Energy of formation from the pure elements   -58 meV per atom
Crystal system   tetragonal
M_tot   3.74 μB per formula unit
Space-group type   I4/mmm